SrInPt2: relaxed, PBE-GGA.

The value obtained for the magnetization is 0.004 μB/cell. The calculation puts the total energy at -4.72 eV/atom.

a b c (Å): 4.5183 4.5183 5.5232
angles (deg): 90.00 90.00 120.00
Fractional coordinates of all 4 atoms:
1 Sr 0.0000 0.0000 0.0000
2 In 0.3333 0.6667 0.5000
3 Pt 0.6667 0.3333 0.2623
4 Pt 0.6667 0.3333 0.7377